Here is an optimized crystal structure of Tm2ThRu2 from Alexandria via LeMat-Bulk. Energies are from GGA-PBE.

```
Tm2ThRu2
1.0
4.707 0.000 0.000
-2.353 4.076 0.000
0.000 0.000 6.136
Tm Th Ru
2 1 2
direct
0.333 0.667 0.152 Tm
0.667 0.333 0.848 Tm
0.000 0.000 0.500 Th
0.333 0.667 0.654 Ru
0.667 0.333 0.346 Ru
```

Calculated values
Crystal system: trigonal
E_tot in eV per atom: -7.406
Volume in A^3/atom: 23.547
M_tot in μB per atom: 0.000

---

Here is an optimized crystal structure of Tm4ThRu2 from Alexandria via LeMat-Bulk. Energies are from GGA-PBE.

```
Tm4ThRu2
1.0
7.723 0.000 0.000
0.000 6.265 0.000
-3.045 0.000 7.273
Tm Th Ru
8 2 4
direct
0.108 0.250 0.482 Tm
0.165 0.750 0.247 Tm
0.260 0.502 0.914 Tm
0.260 0.998 0.914 Tm
0.740 0.002 0.086 Tm
0.740 0.498 0.086 Tm
0.835 0.250 0.753 Tm
0.892 0.750 0.518 Tm
0.466 0.250 0.339 Th
0.534 0.750 0.661 Th
0.091 0.250 0.130 Ru
0.478 0.250 0.739 Ru
0.522 0.750 0.261 Ru
0.909 0.750 0.870 Ru
```

Calculated values
Crystal system: monoclinic
E_tot in eV per atom: -6.560
Volume in A^3/atom: 25.135
M_tot in μB per atom: 0.000

---

Here is an optimized crystal structure of Tm5ThRu6 from Alexandria via LeMat-Bulk. Energies are from GGA-PBE.

```
Tm5ThRu6
1.0
2.399 -7.150 0.000
2.399 7.150 0.000
0.000 0.000 6.779
Tm Th Ru
5 1 6
direct
0.000 0.000 0.000 Tm
0.329 0.671 0.500 Tm
0.333 0.667 0.000 Tm
0.667 0.333 0.000 Tm
0.671 0.329 0.500 Tm
0.000 0.000 0.500 Th
0.164 0.836 0.253 Ru
0.164 0.836 0.747 Ru
0.500 0.500 0.255 Ru
0.500 0.500 0.745 Ru
0.836 0.164 0.253 Ru
0.836 0.164 0.747 Ru
```

Calculated values
Crystal system: orthorhombic
E_tot in eV per atom: -7.595
Volume in A^3/atom: 19.379
M_tot in μB per atom: 0.000

---

Here is an optimized crystal structure of Tm5ThRu3 from Alexandria via LeMat-Bulk. Energies are from GGA-PBE.

```
Tm5ThRu3
1.0
6.098 -4.501 0.000
6.098 4.501 0.000
-3.741 0.000 9.130
Tm Th Ru
10 2 6
direct
0.067 0.067 0.367 Tm
0.133 0.532 0.327 Tm
0.195 0.805 0.000 Tm
0.266 0.266 0.969 Tm
0.468 0.867 0.673 Tm
0.532 0.133 0.327 Tm
0.734 0.734 0.031 Tm
0.805 0.195 0.000 Tm
0.867 0.468 0.673 Tm
0.933 0.933 0.633 Tm
0.396 0.396 0.699 Th
0.604 0.604 0.301 Th
0.167 0.167 0.169 Ru
0.173 0.173 0.668 Ru
0.500 0.500 0.000 Ru
0.500 0.500 0.500 Ru
0.827 0.827 0.332 Ru
0.833 0.833 0.831 Ru
```

Calculated values
Crystal system: monoclinic
E_tot in eV per atom: -6.677
Volume in A^3/atom: 27.844
M_tot in μB per atom: 0.000

---

Here is an optimized crystal structure of TmTh2Ru from Alexandria via LeMat-Bulk. Energies are from GGA-PBE.

```
TmTh2Ru
1.0
1.904 1.099 10.227
-1.904 1.099 10.227
0.000 -2.198 10.227
Tm Th Ru
1 2 1
direct
0.000 0.000 0.000 Tm
0.111 0.111 0.111 Th
0.889 0.889 0.889 Th
0.500 0.500 0.500 Ru
```

Calculated values
Crystal system: trigonal
E_tot in eV per atom: -7.042
Volume in A^3/atom: 32.099
M_tot in μB per atom: 0.000

---

Here is an optimized crystal structure of Tm3ThRu from Alexandria via LeMat-Bulk. Energies are from GGA-PBE.

```
Tm3ThRu
1.0
5.797 -4.254 0.000
5.797 4.254 0.000
-5.356 0.000 5.860
Tm Th Ru
6 2 2
direct
0.050 0.449 0.792 Tm
0.052 0.052 0.258 Tm
0.449 0.050 0.792 Tm
0.551 0.950 0.208 Tm
0.948 0.948 0.742 Tm
0.950 0.551 0.208 Tm
0.450 0.450 0.668 Th
0.550 0.550 0.332 Th
0.258 0.258 0.122 Ru
0.742 0.742 0.878 Ru
```

Calculated values
Crystal system: monoclinic
E_tot in eV per atom: -6.237
Volume in A^3/atom: 28.898
M_tot in μB per atom: 0.000

---

Here is an optimized crystal structure of Th3U2Ru6 from Alexandria via LeMat-Bulk. Energies are from GGA-PBE.

```
Th3U2Ru6
1.0
-4.936 4.936 4.936
4.936 -4.936 4.936
4.936 4.936 -4.936
Th U Ru
6 4 12
direct
0.000 0.311 0.311 Th
0.000 0.689 0.689 Th
0.311 0.000 0.311 Th
0.311 0.311 0.000 Th
0.689 0.000 0.689 Th
0.689 0.689 0.000 Th
0.000 0.000 0.500 U
0.000 0.500 0.000 U
0.500 0.000 0.000 U
0.500 0.500 0.500 U
0.000 0.306 0.694 Ru
0.000 0.694 0.306 Ru
0.306 0.000 0.694 Ru
0.306 0.306 0.612 Ru
0.306 0.612 0.306 Ru
0.306 0.694 0.000 Ru
0.388 0.694 0.694 Ru
0.612 0.306 0.306 Ru
0.694 0.000 0.306 Ru
0.694 0.306 0.000 Ru
0.694 0.388 0.694 Ru
0.694 0.694 0.388 Ru
```

Calculated values
Crystal system: cubic
E_tot in eV per atom: -9.398
Volume in A^3/atom: 21.867
M_tot in μB per atom: 0.000

---

Here is an optimized crystal structure of ThURu from Alexandria via LeMat-Bulk. Energies are from GGA-PBE.

```
ThURu
1.0
3.415 0.000 0.000
0.005 5.454 0.000
1.667 0.544 7.032
Th U Ru
2 2 2
direct
0.078 0.233 0.351 Th
0.922 0.767 0.649 Th
0.244 0.753 0.011 U
0.756 0.247 0.989 U
0.392 0.283 0.714 Ru
0.608 0.717 0.286 Ru
```

Calculated values
Crystal system: triclinic
E_tot in eV per atom: -9.554
Volume in A^3/atom: 21.828
M_tot in μB per atom: 0.000

---

Here is an optimized crystal structure of ThURu4 from Alexandria via LeMat-Bulk. Energies are from GGA-PBE.

```
ThURu4
1.0
0.000 3.786 3.786
3.786 0.000 3.786
3.786 3.786 0.000
Th U Ru
1 1 4
direct
0.000 0.000 0.000 Th
0.250 0.250 0.250 U
0.126 0.625 0.625 Ru
0.625 0.126 0.625 Ru
0.625 0.625 0.126 Ru
0.625 0.625 0.625 Ru
```

Calculated values
Crystal system: cubic
E_tot in eV per atom: -9.488
Volume in A^3/atom: 18.087
M_tot in μB per atom: 0.254

---

Here is an optimized crystal structure of ThURu2 from Alexandria via LeMat-Bulk. Energies are from GGA-PBE.

```
ThURu2
1.0
6.385 0.000 0.000
0.000 5.099 0.000
0.000 0.000 10.334
Th U Ru
4 4 8
direct
0.181 0.250 0.145 Th
0.319 0.750 0.645 Th
0.681 0.250 0.355 Th
0.819 0.750 0.855 Th
0.022 0.250 0.633 U
0.478 0.750 0.133 U
0.522 0.250 0.867 U
0.978 0.750 0.367 U
0.072 0.250 0.858 Ru
0.204 0.250 0.437 Ru
0.296 0.750 0.937 Ru
0.428 0.750 0.358 Ru
0.572 0.250 0.642 Ru
0.704 0.250 0.063 Ru
0.796 0.750 0.563 Ru
0.928 0.750 0.142 Ru
```

Calculated values
Crystal system: orthorhombic
E_tot in eV per atom: -9.688
Volume in A^3/atom: 21.027
M_tot in μB per atom: 0.000

---

Here is an optimized crystal structure of ThURu2 from Alexandria via LeMat-Bulk. Energies are from GGA-PBE.

```
ThURu2
1.0
3.366 0.000 0.000
0.000 3.366 0.000
0.000 0.000 7.282
Th U Ru
1 1 2
direct
0.000 0.000 0.000 Th
0.000 0.000 0.500 U
0.500 0.500 0.294 Ru
0.500 0.500 0.706 Ru
```

Calculated values
Crystal system: tetragonal
E_tot in eV per atom: -9.580
Volume in A^3/atom: 20.625
M_tot in μB per atom: 0.269

---

Here is an optimized crystal structure of Th2U2Ru5 from Alexandria via LeMat-Bulk. Energies are from GGA-PBE.

```
Th2U2Ru5
1.0
6.232 -3.682 0.000
6.232 3.682 0.000
0.000 0.000 8.022
Th U Ru
4 4 10
direct
0.222 0.222 0.000 Th
0.278 0.278 0.500 Th
0.722 0.722 0.500 Th
0.778 0.778 0.000 Th
0.116 0.884 0.629 U
0.384 0.616 0.129 U
0.616 0.384 0.871 U
0.884 0.116 0.371 U
0.000 0.000 0.000 Ru
0.067 0.687 0.310 Ru
0.187 0.567 0.810 Ru
0.313 0.933 0.310 Ru
0.433 0.813 0.810 Ru
0.500 0.500 0.500 Ru
0.567 0.187 0.190 Ru
0.687 0.067 0.690 Ru
0.813 0.433 0.190 Ru
0.933 0.313 0.690 Ru
```

Calculated values
Crystal system: orthorhombic
E_tot in eV per atom: -9.518
Volume in A^3/atom: 20.455
M_tot in μB per atom: 0.000

---

Here is an optimized crystal structure of ThV2Ru from Alexandria via LeMat-Bulk. Energies are from GGA-PBE.

```
ThV2Ru
1.0
0.000 3.222 3.222
3.222 0.000 3.222
3.222 3.222 0.000
Th V Ru
1 2 1
direct
0.000 0.000 0.000 Th
0.250 0.250 0.250 V
0.750 0.750 0.750 V
0.500 0.500 0.500 Ru
```

Calculated values
Crystal system: cubic
E_tot in eV per atom: -8.582
Volume in A^3/atom: 16.729
M_tot in μB per atom: 0.000

---

Here is an optimized crystal structure of ThVRu from Alexandria via LeMat-Bulk. Energies are from GGA-PBE.

```
ThVRu
1.0
-1.575 1.575 5.855
1.575 -1.575 5.855
1.575 1.575 -5.855
Th V Ru
1 1 1
direct
0.000 0.000 0.000 Th
0.702 0.702 0.000 V
0.302 0.302 0.000 Ru
```

Calculated values
Crystal system: tetragonal
E_tot in eV per atom: -8.630
Volume in A^3/atom: 19.368
M_tot in μB per atom: 0.000

---

Here is an optimized crystal structure of ThVRu from Alexandria via LeMat-Bulk. Energies are from GGA-PBE.

```
ThVRu
1.0
1.914 -7.887 0.000
1.914 7.887 0.000
0.000 0.000 4.289
Th V Ru
2 2 2
direct
0.159 0.841 0.750 Th
0.841 0.159 0.250 Th
0.500 0.500 0.000 V
0.500 0.500 0.500 V
0.347 0.653 0.750 Ru
0.653 0.347 0.250 Ru
```

Calculated values
Crystal system: orthorhombic
E_tot in eV per atom: -8.408
Volume in A^3/atom: 21.585
M_tot in μB per atom: 0.000

---

Here is an optimized crystal structure of Y2Th2Ru3 from Alexandria via LeMat-Bulk. Energies are from GGA-PBE.

```
Y2Th2Ru3
1.0
4.161 -2.406 0.000
4.161 2.406 0.000
-2.788 0.000 8.273
Y Th Ru
2 2 3
direct
0.129 0.129 0.386 Y
0.871 0.871 0.614 Y
0.381 0.381 0.142 Th
0.619 0.619 0.858 Th
0.000 0.000 0.000 Ru
0.255 0.255 0.764 Ru
0.745 0.745 0.236 Ru
```

Calculated values
Crystal system: monoclinic
E_tot in eV per atom: -8.342
Volume in A^3/atom: 23.655
M_tot in μB per atom: 0.000

---

Here is an optimized crystal structure of Y2ThRu3 from Alexandria via LeMat-Bulk. Energies are from GGA-PBE.

```
Y2ThRu3
1.0
4.883 0.000 0.000
-2.441 4.228 0.000
0.000 0.000 6.000
Y Th Ru
2 1 3
direct
0.333 0.667 0.156 Y
0.667 0.333 0.844 Y
0.000 0.000 0.500 Th
0.000 0.000 0.000 Ru
0.333 0.667 0.657 Ru
0.667 0.333 0.343 Ru
```

Calculated values
Crystal system: trigonal
E_tot in eV per atom: -8.428
Volume in A^3/atom: 20.645
M_tot in μB per atom: 0.000

---

Here is an optimized crystal structure of Y5ThRu6 from Alexandria via LeMat-Bulk. Energies are from GGA-PBE.

```
Y5ThRu6
1.0
4.864 0.000 0.000
0.000 6.879 0.000
-2.410 0.000 7.246
Y Th Ru
5 1 6
direct
0.000 0.000 0.000 Y
0.329 0.500 0.658 Y
0.333 0.000 0.666 Y
0.667 0.000 0.334 Y
0.671 0.500 0.342 Y
0.000 0.500 0.000 Th
0.162 0.255 0.324 Ru
0.162 0.745 0.324 Ru
0.500 0.259 0.000 Ru
0.500 0.741 0.000 Ru
0.838 0.255 0.676 Ru
0.838 0.745 0.676 Ru
```

Calculated values
Crystal system: monoclinic
E_tot in eV per atom: -8.309
Volume in A^3/atom: 20.202
M_tot in μB per atom: 0.000

---

Here is an optimized crystal structure of YThRu2 from Alexandria via LeMat-Bulk. Energies are from GGA-PBE.

```
YThRu2
1.0
4.922 0.000 0.000
0.000 4.922 0.000
0.000 0.000 3.493
Y Th Ru
1 1 2
direct
0.000 0.000 0.000 Y
0.500 0.500 0.000 Th
0.000 0.500 0.500 Ru
0.500 0.000 0.500 Ru
```

Calculated values
Crystal system: tetragonal
E_tot in eV per atom: -8.515
Volume in A^3/atom: 21.158
M_tot in μB per atom: 0.000

---

Here is an optimized crystal structure of Y2ThRu from Alexandria via LeMat-Bulk. Energies are from GGA-PBE.

```
Y2ThRu
1.0
7.250 0.000 0.000
0.000 9.651 0.000
0.000 0.000 6.384
Y Th Ru
8 4 4
direct
0.173 0.066 0.171 Y
0.173 0.434 0.171 Y
0.327 0.566 0.671 Y
0.327 0.934 0.671 Y
0.673 0.066 0.329 Y
0.673 0.434 0.329 Y
0.827 0.566 0.829 Y
0.827 0.934 0.829 Y
0.048 0.250 0.655 Th
0.452 0.750 0.155 Th
0.548 0.250 0.845 Th
0.952 0.750 0.345 Th
0.132 0.750 0.973 Ru
0.368 0.250 0.473 Ru
0.632 0.750 0.527 Ru
0.868 0.250 0.027 Ru
```

Calculated values
Crystal system: orthorhombic
E_tot in eV per atom: -7.752
Volume in A^3/atom: 27.920
M_tot in μB per atom: 0.000